[1]
Entry from the Alexandria database: MgSb2W after structural relaxation (PBE-GGA).

Calculated volume ... 21.3 A^3/atom
Energy relative to the lowest polymorph listed for this composition ... 89 meV/atom
DOS at the Fermi energy ... 3.4 states/eV per cell
Magnetic moment ... 0.00 μB per cell
Energy relative to the elements, uncorrected ... 0.318 eV per atom

Cell lengths 5.4273, 5.4273, 4.6904 Å; angles 90.01, 90.01, 37.98 degrees
Fractional coordinates of all 4 atoms:
Sb1 0.2643 0.2643 0.3751
Sb2 0.9769 0.9769 0.8749
W1 0.5517 0.5517 0.3750
Mg1 0.7070 0.7070 0.8751



[2]
Entry from the Alexandria database: Ce5Ge3Ru after structural relaxation (PBE-GGA).

Calculated volume ... 27.2 A^3/atom
DOS at the Fermi energy ... 52.0 states/eV per cell
Magnetic moment ... 7.26 μB per cell
DFT formation energy ... -17.8 kJ per mole of atoms

Cell lengths 8.5053, 8.5053, 8.0810 Å; angles 67.25, 67.25, 73.15 degrees
Fractional coordinates of all 18 atoms:
Ce1 0.2178 0.2178 0.9819
Ce2 0.7822 0.7822 0.0181
Ce3 0.3804 0.9650 0.3957
Ce4 0.5540 0.5540 0.2588
Ce5 0.6196 0.0350 0.6043
Ce6 0.4460 0.4460 0.7412
Ce7 0.9650 0.3804 0.3957
Ce8 0.0350 0.6196 0.6043
Ce9 0.7204 0.2796 0.0000
Ce10 0.2796 0.7204 0.0000
Ge1 0.3081 0.3081 0.5476
Ge2 0.6525 0.6525 0.8184
Ge3 0.0000 0.0000 0.0000
Ge4 0.0000 0.0000 0.5000
Ge5 0.3475 0.3475 0.1816
Ge6 0.6919 0.6919 0.4524
Ru1 0.1072 0.1072 0.6676
Ru2 0.8928 0.8928 0.3324



[3]
Entry from the Alexandria database: Tm3TiTl4S8 after structural relaxation (PBE-GGA).

Calculated volume ... 24.7 A^3/atom
DOS at the Fermi energy ... 6.0 states/eV per cell
Magnetic moment ... 1.01 μB per cell
Energy relative to the elements, uncorrected ... -1.327 eV per atom

Cell lengths 7.7820, 8.7698, 7.7823 Å; angles 116.34, 120.00, 90.00 degrees
Fractional coordinates of all 16 atoms:
Tm1 0.0000 0.5000 0.5000
Tm2 0.5000 0.5000 0.5000
Tm3 0.5000 0.5000 0.0000
Tl1 0.5000 0.0000 0.0000
Tl2 0.5000 0.0000 0.5000
Tl3 0.0000 0.0000 0.0000
Tl4 0.0000 0.0000 0.5000
S1 0.7467 0.6907 0.9687
S2 0.2674 0.3023 0.5349
S3 0.2221 0.6908 0.4442
S4 0.2220 0.6907 0.9687
S5 0.7326 0.6977 0.4651
S6 0.2533 0.3093 0.0313
S7 0.7780 0.3093 0.0313
S8 0.7779 0.3092 0.5558
Ti1 0.0000 0.5000 0.0000



[4]
Entry from the Alexandria database: BaCd4In after structural relaxation (PBE-GGA).

Calculated volume ... 28.3 A^3/atom
Energy relative to the lowest polymorph listed for this composition ... 0 meV/atom
DOS at the Fermi energy ... 5.8 states/eV per cell
Magnetic moment ... 0.00 μB per cell
DFT formation energy ... -20.0 kJ per mole of atoms

Cell lengths 4.9223, 7.5964, 9.4134 Å; angles 90.00, 105.16, 90.00 degrees
Fractional coordinates of all 12 atoms:
Cd1 0.3340 0.4413 0.6681
Cd2 0.6660 0.5587 0.3319
Cd3 0.3340 0.0587 0.6681
Cd4 0.9341 0.2500 0.8682
Cd5 0.5000 0.5000 0.0000
Cd6 0.0659 0.7500 0.1318
Cd7 0.6660 0.9413 0.3319
Cd8 0.5000 0.0000 0.0000
Ba1 0.1248 0.2500 0.2496
Ba2 0.8752 0.7500 0.7504
In1 0.7686 0.2500 0.5373
In2 0.2314 0.7500 0.4627